Entry 1:
# La3Pm8Nd2 | Alexandria | PBE | optimized geometry
# Formation energy: 0.140 eV/atom
# Relative energy among the computed polymorphs: 0.000 eV/f.u.
# DFT total energy: -60.5 eV/f.u.
data_La3Pm8Nd2
_chemical_formula_sum 'La6 Pm16 Nd4'
_cell_length_a 13.477
_cell_length_b 11.914
_cell_length_c 6.275
_cell_angle_alpha 90.00
_cell_angle_beta 112.96
_cell_angle_gamma 90.00
_space_group_name_H-M_alt 'C 1 2/m 1'
_space_group_IT_number 12
loop_
_space_group_symop_operation_xyz
'x,y,z'
'-x,-y,-z'
'-x,y,-z'
'x,-y,z'
'x+1/2,y+1/2,z'
'-x+1/2,-y+1/2,-z'
'-x+1/2,y+1/2,-z'
'x+1/2,-y+1/2,z'
loop_
_atom_site_label
_atom_site_type_symbol
_atom_site_fract_x
_atom_site_fract_y
_atom_site_fract_z
La1 La 0.000 0.000 0.000
La2 La 0.000 0.238 0.500
Pm1 Pm 0.058 0.500 0.281
Pm2 Pm 0.159 0.000 0.547
Pm3 Pm 0.176 0.256 0.180
Nd1 Nd 0.207 0.500 0.856

Entry 2:
# PaV4S8 | Alexandria | PBE | optimized geometry
# DFT total energy: -93.2 eV/f.u.
data_PaV4S8
_chemical_formula_sum 'Pa3 V12 S24'
_cell_length_a 6.8542
_cell_length_b 6.8542
_cell_length_c 18.4650
_cell_angle_alpha 90.00
_cell_angle_beta 90.00
_cell_angle_gamma 120.00
_space_group_name_H-M_alt 'R -3 m'
_space_group_IT_number 166
_space_group_name_Hall '-R 3 2"'
loop_
_atom_site_label
_atom_site_type_symbol
_atom_site_fract_x
_atom_site_fract_y
_atom_site_fract_z
Pa1 Pa 0.0000 0.0000 0.0000
V1 V 0.0000 0.0000 0.5000
V2 V 0.0000 0.5000 0.5000
S1 S 0.0000 0.0000 0.2392
S2 S 0.0110 0.5055 0.2438

Entry 3:
# ScFeMo | Alexandria | PBE | optimized geometry
# Formation energy: 0.194 eV/atom
# Relative energy among the computed polymorphs: 0.877 eV/f.u.
# DFT total energy: -25.0 eV/f.u.
data_ScFeMo
_chemical_formula_sum 'Sc1 Fe1 Mo1'
_cell_length_a 4.2847
_cell_length_b 4.2847
_cell_length_c 2.9238
_cell_angle_alpha 90.00
_cell_angle_beta 90.00
_cell_angle_gamma 120.00
_space_group_name_H-M_alt 'P 3 m 1'
_space_group_IT_number 156
loop_
_space_group_symop_operation_xyz
'x,y,z'
'-y,x-y,z'
'-x+y,-x,z'
'-y,-x,z'
'-x+y,y,z'
'x,x-y,z'
loop_
_atom_site_label
_atom_site_type_symbol
_atom_site_fract_x
_atom_site_fract_y
_atom_site_fract_z
Sc1 Sc 0.0000 0.0000 0.0000
Fe1 Fe 0.3333 0.6667 0.3826
Mo1 Mo 0.6667 0.3333 0.5990